Record 1
! PBE-GGA Na2MgH4, optimized geometry; values from VASP
&SYSTEM
  ibrav = 0, nat = 28, ntyp = 3
/
ATOMIC_SPECIES
Mg 24.30 Mg.upf
Na 22.99 Na.upf
H 1.01 H.upf
CELL_PARAMETERS angstrom
5.156 0.000 -1.062
-0.219 5.152 -1.062
-0.051 -0.053 12.800
ATOMIC_POSITIONS angstrom
Mg 3.787 1.262 5.338
Mg 0.000 0.000 0.000
Mg 2.469 2.576 -1.062
Mg 1.100 3.837 5.338
Na 2.946 0.384 1.255
Na 4.046 4.221 6.593
Na 1.577 1.645 7.655
Na 0.841 0.878 4.083
Na 4.628 2.139 9.420
Na 0.259 2.960 1.255
Na 1.941 4.715 9.420
Na 3.310 3.454 3.020
H 2.864 2.989 0.858
H 3.391 4.163 -1.593
H 1.547 0.989 -0.531
H 0.838 3.565 -0.939
H 4.626 4.826 4.399
H 1.495 4.250 7.258
H 4.491 4.686 8.755
H 4.099 1.587 -1.186
H 4.183 1.674 7.258
H 2.730 2.849 5.214
H 0.177 2.250 5.869
H 0.396 0.413 1.920
H 2.023 2.110 9.818
H 0.704 3.425 3.418
H 3.392 0.849 3.418
H 2.241 0.273 5.869
! * magnetization: 0.00 μB per atom
! * crystal system: tetragonal
! * E_tot: -2.73 eV/atom
! * relative energy among the computed polymorphs: 0.000 eV per atom

Record 2
! PBE-GGA Na4MgH6, optimized geometry; values from VASP
&SYSTEM
  ibrav = 0, nat = 22, ntyp = 3
/
ATOMIC_SPECIES
Na 22.99 Na.upf
H 1.01 H.upf
Mg 24.30 Mg.upf
CELL_PARAMETERS angstrom
5.564 0.000 1.680
2.578 4.813 1.515
-0.474 -0.444 11.624
ATOMIC_POSITIONS angstrom
Na 3.719 3.243 13.168
Na 3.932 0.372 2.211
Na 3.489 3.018 5.091
Na 4.313 4.113 9.688
Na 5.256 1.059 7.381
Na 3.879 0.389 10.724
Na 1.122 1.929 2.473
Na 2.118 2.556 7.915
H 5.223 0.359 5.064
H 4.264 3.181 7.356
H 5.213 -0.265 9.156
H 1.358 2.642 5.861
H 5.627 3.823 5.123
H 1.980 0.553 12.182
H 5.028 2.543 11.257
H 2.081 1.194 9.568
H 5.869 2.720 13.890
H 3.246 2.363 3.046
H 5.227 0.013 12.545
H 3.066 0.536 6.792
Mg 0.776 1.514 10.866
Mg 5.995 4.143 6.926
! * magnetization: 0.00 μB per atom
! * crystal system: monoclinic
! * E_tot: -2.62 eV/atom

Record 3
! PBE-GGA NaMg6H12, optimized geometry; values from VASP
&SYSTEM
  ibrav = 0, nat = 19, ntyp = 3
/
ATOMIC_SPECIES
H 1.01 H.upf
Mg 24.30 Mg.upf
Na 22.99 Na.upf
CELL_PARAMETERS angstrom
5.999 -0.011 -0.015
-1.497 5.809 -0.015
-1.497 -1.929 5.480
ATOMIC_POSITIONS angstrom
H 1.193 1.537 4.497
H 4.286 2.647 0.685
H 1.502 4.808 0.685
H 1.811 2.333 0.953
H 1.193 3.739 2.933
H -0.322 1.787 2.517
H -1.281 4.096 2.725
H 1.502 -0.938 4.765
H 1.811 0.131 2.517
H 4.286 -0.226 2.725
H -1.281 1.223 4.765
H 3.327 2.083 2.933
Mg -0.071 2.949 4.153
Mg 2.874 3.703 1.994
Mg 0.130 3.208 1.297
Mg 2.874 0.662 4.153
Mg 3.076 0.921 1.297
Mg 0.130 0.168 3.457
Na 0.000 0.000 0.000
! * magnetization: 0.00 μB per atom
! * crystal system: trigonal
! * E_tot: -2.74 eV/atom

Record 4
! PBE-GGA NaMg2H7, optimized geometry; values from VASP
&SYSTEM
  ibrav = 0, nat = 10, ntyp = 3
/
ATOMIC_SPECIES
H 1.01 H.upf
Mg 24.30 Mg.upf
Na 22.99 Na.upf
CELL_PARAMETERS angstrom
-0.774 3.555 0.595
-2.210 0.406 -5.302
-3.241 -1.464 4.529
ATOMIC_POSITIONS angstrom
H -2.435 -0.002 -3.157
H -3.016 -1.056 2.384
H -4.234 1.213 -1.336
H -4.459 0.806 0.808
H -3.113 1.249 -0.089
H -1.992 1.284 1.158
H -1.767 1.692 -0.986
Mg -3.367 0.788 2.335
Mg -2.859 1.709 -2.513
Na 0.000 0.000 0.000
! * magnetization: 0.00 μB per atom
! * crystal system: orthorhombic
! * E_tot: -2.59 eV/atom